Computed, not measured: a PBEsol-optimized structure of Li2CaAs at the meta-GGA SCAN level of DFT.

Lattice parameters (Å, degrees): 4.0606 4.1088 5.7170 90.00 110.80 90.00
Last column: nearest neighbours and their distance in Å.
Element x y z (fractional)
As 0.1946 0.0000 0.3891  4 Li 2.46-2.72
Ca 0.6157 0.5000 0.2314  3 Li 2.99-3.15, 4 As 3.01
Li 0.8644 0.0000 0.7289  2 As 2.72, 4 Li 2.92
Li 0.3214 0.5000 0.6428  2 As 2.46

Values from the calculation:
Formation enthalpy at 0 K   -0.660 eV/atom
Total magnetization   0.7 μB/f.u.
Space-group type   Amm2

---

Computed, not measured: a PBEsol-optimized structure of KCd2AsPb at the meta-GGA SCAN level of DFT.

Lattice parameters (Å, degrees): 5.5229 5.7143 5.7143 90.00 90.00 90.00
Last column: nearest neighbours and their distance in Å.
Element x y z (fractional)
Pb 0.0000 0.0000 0.0000  2 As 2.76, 4 Cd 2.86
As 0.5000 0.0000 0.0000  2 Pb 2.76
K 0.5000 0.5000 0.5000  8 Cd 3.97, 4 As 4.04
Cd 0.0000 0.0000 0.5000  2 Pb 2.86
Cd 0.0000 0.5000 0.0000  2 Pb 2.86

Values from the calculation:
Formation enthalpy at 0 K   0.238 eV/atom
Total magnetization   0.0 μB/f.u.
Space-group type   P4/mmm

---

Computed, not measured: a PBEsol-optimized structure of AlCdMo2 at the meta-GGA SCAN level of DFT.

Lattice parameters (Å, degrees): 3.3478 4.2587 4.4744 90.00 90.00 90.00
Last column: nearest neighbours and their distance in Å.
Element x y z (fractional)
Mo 0.0000 0.0000 0.0000  4 Mo 2.71, 4 Al 2.79
Mo 0.5000 0.5000 0.0000  4 Mo 2.71, 4 Cd 2.79
Al 0.5000 0.0000 0.5000  4 Cd 2.71, 4 Mo 2.79
Cd 0.0000 0.5000 0.5000  4 Al 2.71, 4 Mo 2.79

Values from the calculation:
Formation enthalpy at 0 K   0.183 eV/atom
Total magnetization   0.0 μB/f.u.
Space-group type   Pmmm
Distance to the lowest polymorph of the same formula   0.122 eV per atom

---

Computed, not measured: a PBEsol-optimized structure of Sr2MnHg at the meta-GGA SCAN level of DFT.

Lattice parameters (Å, degrees): 3.9004 5.3926 6.5261 114.40 107.39 90.00
Last column: nearest neighbours and their distance in Å.
Element x y z (fractional)
Hg 0.5357 0.5357 0.0715  2 Mn 2.71
Mn 0.2035 0.7035 0.4069  2 Hg 2.71
Sr 0.9841 0.9841 0.9682  4 Hg 3.38, 2 Sr 3.56, 4 Mn 3.65-3.71
Sr 0.7767 0.2767 0.5535  4 Mn 3.43, 4 Hg 3.50-3.82, 4 Sr 3.56-3.82

Values from the calculation:
Formation enthalpy at 0 K   -0.173 eV/atom
Total magnetization   4.2 μB/f.u.
Space-group type   Imm2

---

Computed, not measured: a PBEsol-optimized structure of TlSb2Ir at the meta-GGA SCAN level of DFT.

Lattice parameters (Å, degrees): 3.6123 4.7825 6.6134 107.17 90.00 112.19
Last column: nearest neighbours and their distance in Å.
Element x y z (fractional)
Ir 0.7718 0.5435 0.0809  5 Sb 2.60-2.64
Sb 0.0785 0.1569 0.1545  3 Ir 2.60-2.64
Sb 0.2178 0.4357 0.7776  2 Ir 2.63
Tl 0.4320 0.8639 0.4870  6 Sb 3.10-3.41, 2 Ir 3.17

Values from the calculation:
Total magnetization   0.0 μB/f.u.
Raw formation energy   0.011 eV per atom
Space-group type   Cm
Distance to the lowest polymorph of the same formula   0.006 eV per atom

---

Computed, not measured: a PBEsol-optimized structure of KRbBiAu2 at the meta-GGA SCAN level of DFT.

Lattice parameters (Å, degrees): 5.8259 5.8259 6.1200 90.00 90.00 90.00
Last column: nearest neighbours and their distance in Å.
Element x y z (fractional)
K 0.0000 0.0000 0.0000  4 Au 2.91, 2 Bi 3.06
Au 0.0000 0.5000 0.0000  2 K 2.91
Au 0.5000 0.0000 0.0000  2 K 2.91
Bi 0.0000 0.0000 0.5000  2 K 3.06
Rb 0.5000 0.5000 0.5000  4 Bi 4.12, 8 Au 4.22

Values from the calculation:
Formation enthalpy at 0 K   0.541 eV/atom
Total magnetization   2.6 μB/f.u.
Space-group type   P4/mmm

---

Computed, not measured: a PBEsol-optimized structure of NaLa2ZnRe at the meta-GGA SCAN level of DFT.

Lattice parameters (Å, degrees): 4.6569 5.6098 5.6098 90.00 90.00 90.00
Last column: nearest neighbours and their distance in Å.
Element x y z (fractional)
Re 0.5000 0.0000 0.0000  2 Zn 2.33
Zn 0.0000 0.0000 0.0000  2 Re 2.33
Na 0.5000 0.5000 0.5000  8 La 3.65, 4 Re 3.97
La 0.0000 0.0000 0.5000  2 Zn 2.80
La 0.0000 0.5000 0.0000  2 Zn 2.80

Values from the calculation:
Formation enthalpy at 0 K   0.721 eV/atom
Total magnetization   0.0 μB/f.u.
Space-group type   P4/mmm

---

Computed, not measured: a PBEsol-optimized structure of Al2CrSe at the meta-GGA SCAN level of DFT.

Lattice parameters (Å, degrees): 3.1754 4.0869 4.9822 90.00 108.58 90.00
Last column: nearest neighbours and their distance in Å.
Element x y z (fractional)
Cr 0.8190 0.0000 0.6381  2 Se 2.41, 1 Al 2.53
Al 0.0872 0.0000 0.1743  3 Cr 2.53-2.71, 4 Se 2.74
Al 0.4143 0.5000 0.8286  3 Se 2.54-2.70, 4 Cr 2.74
Se 0.6835 0.5000 0.3669  2 Cr 2.41, 3 Al 2.54-2.70

Values from the calculation:
Total magnetization   1.9 μB/f.u.
Raw formation energy   -0.017 eV per atom
Space-group type   Amm2
Distance to the lowest polymorph of the same formula   0.041 eV per atom

---

Question: The highest total magnetization belongs to which entry?
Answer: Sr2MnHg

---

Repeat the second record exactly.
Computed, not measured: a PBEsol-optimized structure of KCd2AsPb at the meta-GGA SCAN level of DFT.

Lattice parameters (Å, degrees): 5.5229 5.7143 5.7143 90.00 90.00 90.00
Last column: nearest neighbours and their distance in Å.
Element x y z (fractional)
Pb 0.0000 0.0000 0.0000  2 As 2.76, 4 Cd 2.86
As 0.5000 0.0000 0.0000  2 Pb 2.76
K 0.5000 0.5000 0.5000  8 Cd 3.97, 4 As 4.04
Cd 0.0000 0.0000 0.5000  2 Pb 2.86
Cd 0.0000 0.5000 0.0000  2 Pb 2.86

Values from the calculation:
Formation enthalpy at 0 K   0.238 eV/atom
Total magnetization   0.0 μB/f.u.
Space-group type   P4/mmm

---

Repeat the fourth record exactly.
Computed, not measured: a PBEsol-optimized structure of Sr2MnHg at the meta-GGA SCAN level of DFT.

Lattice parameters (Å, degrees): 3.9004 5.3926 6.5261 114.40 107.39 90.00
Last column: nearest neighbours and their distance in Å.
Element x y z (fractional)
Hg 0.5357 0.5357 0.0715  2 Mn 2.71
Mn 0.2035 0.7035 0.4069  2 Hg 2.71
Sr 0.9841 0.9841 0.9682  4 Hg 3.38, 2 Sr 3.56, 4 Mn 3.65-3.71
Sr 0.7767 0.2767 0.5535  4 Mn 3.43, 4 Hg 3.50-3.82, 4 Sr 3.56-3.82

Values from the calculation:
Formation enthalpy at 0 K   -0.173 eV/atom
Total magnetization   4.2 μB/f.u.
Space-group type   Imm2